Compound: Li2MnSiO4
Source: Alexandria via LeMat-Bulk
Functional: GGA+U
Structure: relaxed

Lattice parameters (Å, degrees): 5.0683 5.5116 8.1309 90.00 128.38 90.00
Space group Pc (No. 7)
Inequivalent atoms, fractional coordinates:
Li: 0.0000 0.1513 0.0000 [2 per cell]
Li: 0.7481 0.3169 0.2474 [2 per cell]
Mn: 0.2530 0.3334 0.7544 [2 per cell]
Si: 0.5055 0.1708 0.4992 [2 per cell]
O: 0.1788 0.3058 0.2844 [2 per cell]
O: 0.4024 0.1116 0.0055 [2 per cell]
O: 0.6236 0.3205 0.7132 [2 per cell]
O: 0.8258 0.1742 0.4936 [2 per cell]

Computed properties:
calculated density: 3.0 g/cm3
energy relative to the lowest polymorph listed for this composition: 5.5 meV/atom